# meta-GGA SCAN FeP2PdO, PBEsol geometry
# spin magnetization: 0.0 μB/cell
# energy relative to the elements, uncorrected: 18 meV per atom
data_FeP2PdO
_chemical_formula_sum 'Fe1 P2 Pd1 O1'
_cell_length_a 4.519
_cell_length_b 4.519
_cell_length_c 3.282
_cell_angle_alpha 90.00
_cell_angle_beta 90.00
_cell_angle_gamma 90.00
_symmetry_space_group_name_H-M 'P 1'
_symmetry_Int_Tables_number 1
loop_
_symmetry_equiv_pos_as_xyz
'x,y,z'
loop_
_atom_site_label
_atom_site_fract_x
_atom_site_fract_y
_atom_site_fract_z
Fe1 0.000 0.000 0.000
P1 0.000 0.500 0.000
P2 0.500 0.000 0.000
Pd1 0.500 0.500 0.500
O1 0.000 0.000 0.500



# meta-GGA SCAN FeSb3P6O24, PBEsol geometry
# spin magnetization: 1.0 μB/cell
# energy relative to the elements, uncorrected: -2054 meV per atom
data_FeSb3P6O24
_chemical_formula_sum 'Fe1 Sb3 P6 O24'
_cell_length_a 8.817
_cell_length_b 8.817
_cell_length_c 8.817
_cell_angle_alpha 55.75
_cell_angle_beta 55.75
_cell_angle_gamma 55.75
_symmetry_space_group_name_H-M 'P 1'
_symmetry_Int_Tables_number 1
loop_
_symmetry_equiv_pos_as_xyz
'x,y,z'
loop_
_atom_site_label
_atom_site_fract_x
_atom_site_fract_y
_atom_site_fract_z
Fe1 0.000 0.000 0.000
Sb1 0.209 0.209 0.209
Sb2 0.506 0.506 0.506
Sb3 0.715 0.715 0.715
P1 0.103 0.389 0.824
P2 0.308 0.896 0.618
P3 0.389 0.824 0.103
P4 0.618 0.308 0.896
P5 0.824 0.103 0.389
P6 0.896 0.618 0.308
O1 0.018 0.073 0.385
O2 0.035 0.398 0.343
O3 0.044 0.240 0.857
O4 0.073 0.385 0.018
O5 0.109 0.984 0.752
O6 0.240 0.857 0.044
O7 0.320 0.362 0.679
O8 0.329 0.694 0.647
O9 0.343 0.035 0.398
O10 0.362 0.679 0.320
O11 0.385 0.018 0.073
O12 0.398 0.343 0.035
O13 0.476 0.871 0.652
O14 0.602 0.732 0.973
O15 0.647 0.329 0.694
O16 0.652 0.476 0.871
O17 0.679 0.320 0.362
O18 0.694 0.647 0.329
O19 0.732 0.973 0.602
O20 0.752 0.109 0.984
O21 0.857 0.044 0.240
O22 0.871 0.652 0.476
O23 0.973 0.602 0.732
O24 0.984 0.752 0.109



# meta-GGA SCAN FeSbP2O8, PBEsol geometry
# spin magnetization: 10.0 μB/cell
# energy relative to the elements, uncorrected: -2071 meV per atom
data_FeSbP2O8
_chemical_formula_sum 'Fe2 Sb2 P4 O16'
_cell_length_a 4.869
_cell_length_b 6.404
_cell_length_c 9.948
_cell_angle_alpha 90.00
_cell_angle_beta 101.43
_cell_angle_gamma 90.00
_symmetry_space_group_name_H-M 'P 1'
_symmetry_Int_Tables_number 1
loop_
_symmetry_equiv_pos_as_xyz
'x,y,z'
loop_
_atom_site_label
_atom_site_fract_x
_atom_site_fract_y
_atom_site_fract_z
Fe1 0.128 0.250 0.216
Fe2 0.872 0.750 0.784
Sb1 0.298 0.250 0.675
Sb2 0.702 0.750 0.325
P1 0.124 0.750 0.115
P2 0.252 0.750 0.602
P3 0.748 0.250 0.398
P4 0.876 0.250 0.885
O1 0.094 0.750 0.959
O2 0.133 0.750 0.449
O3 0.138 0.569 0.682
O4 0.138 0.931 0.682
O5 0.180 0.250 0.856
O6 0.287 0.554 0.180
O7 0.287 0.946 0.180
O8 0.428 0.250 0.376
O9 0.572 0.750 0.624
O10 0.713 0.054 0.820
O11 0.713 0.446 0.820
O12 0.820 0.750 0.144
O13 0.862 0.069 0.318
O14 0.862 0.431 0.318
O15 0.867 0.250 0.551
O16 0.906 0.250 0.041